A plane-wave DFT calculation with GGA-PBEsol was carried out for a relaxed structure of LaZrAg.

Geometry as POSCAR:
```
LaZrAg
1.0
-2.2057 0.3232 2.4794
1.3465 -2.9789 -0.6557
5.6133 1.4806 4.8005
Ag La Zr
1 1 1
Direct
0.0000 0.0000 0.0197 Ag
0.3333 0.6667 0.6685 La
0.6667 0.3333 0.3118 Zr
```

Results
Space group = P3m1, No. 156
Volume = 72.5 Å³/cell
Uncorrected energy = -5.76 eV/atom
Energy of formation = 0.1515 eV per atom